No. 1
Na2Al2Tl | PBE | optimized geometry

Calculated values
Energy ... -11.86 eV/f.u.
DOS(E_F) ... 0.35 states/eV per atom
Total magnetic moment ... 0.00 μB/f.u.
Symmetry ... P4/mbm (127)

a b c (Å): 7.101 7.101 5.140
angles (deg): 90.00 90.00 90.00
Element x y z (fractional)
Na  0.172  0.672  0.500
Na  0.672  0.828  0.500
Na  0.828  0.328  0.500
Na  0.328  0.172  0.500
Tl  0.000  0.000  0.000
Tl  0.500  0.500  0.000
Al  0.372  0.872  0.000
Al  0.872  0.628  0.000
Al  0.628  0.128  0.000
Al  0.128  0.372  0.000

=====

No. 2
BeCdP2 | PBE | optimized geometry

Calculated values
Energy ... -12.72 eV/f.u.
DOS(E_F) ... 0.39 states/eV per atom
Total magnetic moment ... 0.00 μB/f.u.
Symmetry ... I4/mmm (139)

a b c (Å): 4.664 4.664 4.664
angles (deg): 125.95 125.95 79.97
Element x y z (fractional)
P  0.000  0.000  0.000
P  0.500  0.500  0.000
Be  0.250  0.750  0.500
Cd  0.750  0.250  0.500

=====

No. 3
Pa3Tc5Ge2 | PBE | optimized geometry

Calculated values
Energy ... -90.51 eV/f.u.
DOS(E_F) ... 1.36 states/eV per atom
Total magnetic moment ... 0.00 μB/f.u.
Symmetry ... Ibam (72)

a b c (Å): 5.966 8.652 8.652
angles (deg): 81.35 69.83 69.83
Element x y z (fractional)
Pa  0.250  0.000  0.000
Pa  0.750  0.000  0.000
Pa  0.381  0.394  0.844
Pa  0.619  0.606  0.156
Pa  0.881  0.844  0.394
Pa  0.119  0.156  0.606
Tc  0.250  0.500  0.500
Tc  0.750  0.500  0.500
Tc  0.463  0.787  0.787
Tc  0.037  0.213  0.213
Tc  0.537  0.213  0.213
Tc  0.963  0.787  0.787
Tc  0.135  0.471  0.260
Tc  0.865  0.529  0.740
Tc  0.635  0.260  0.471
Tc  0.365  0.740  0.529
Ge  0.131  0.691  0.046
Ge  0.869  0.309  0.954
Ge  0.631  0.046  0.691
Ge  0.369  0.954  0.309

=====

No. 4
Tl15In4Pb | PBE | optimized geometry

Calculated values
Energy ... -49.86 eV/f.u.
DOS(E_F) ... 0.44 states/eV per atom
Total magnetic moment ... 0.00 μB/f.u.
Symmetry ... P4/mmm (123)

a b c (Å): 5.620 5.620 19.036
angles (deg): 90.00 90.00 90.00
Element x y z (fractional)
Tl  0.500  0.500  0.000
Tl  0.500  0.500  0.203
Tl  0.500  0.500  0.401
Tl  0.500  0.500  0.599
Tl  0.500  0.500  0.797
Tl  0.500  0.000  0.104
Tl  0.500  0.000  0.301
Tl  0.500  0.000  0.500
Tl  0.500  0.000  0.699
Tl  0.500  0.000  0.896
Tl  0.000  0.500  0.104
Tl  0.000  0.500  0.301
Tl  0.000  0.500  0.500
Tl  0.000  0.500  0.699
Tl  0.000  0.500  0.896
In  0.000  0.000  0.202
In  0.000  0.000  0.401
In  0.000  0.000  0.599
In  0.000  0.000  0.798
Pb  0.000  0.000  0.000

=====

no.,energy of formation from the pure elements (eV/atom)
1,0.126
2,0.685
3,-0.096
4,0.015